DyZr2N3 (PBE, relaxed); space group = P-3m1, No. 164
1.0
3.305 0.000 0.000
-1.653 2.863 0.000
0.000 0.000 8.139
Zr Dy N
2 1 3
direct
0.667 0.333 0.161 Zr
0.333 0.667 0.839 Zr
0.000 0.000 0.500 Dy
0.667 0.333 0.680 N
0.333 0.667 0.320 N
0.000 0.000 0.000 N

DyZrN2 (PBE, relaxed); space group = P4/mmm, No. 123
1.0
-0.493 -1.175 3.097
3.148 0.807 0.807
-1.451 4.272 1.391
N Zr Dy
2 1 1
direct
0.000 0.000 0.500 N
0.500 0.500 0.000 N
0.000 0.000 0.000 Zr
0.500 0.500 0.500 Dy

Which calculated volume belongs to each record? In order, 77.0; 52.9 Å³ per cell.
Which DFT total energy belongs to each record? In order, -9.491; -9.130 eV per atom.
Which ρ belongs to each record? In order, 8.34; 8.84 Mg/m³.